[1]
Computed, not measured: crystalline Ca2MnTl at its relaxed geometry at the PBE-GGA level of DFT.

Structure (CIF):
```
data_Ca2MnTl
_chemical_formula_sum 'Ca4 Mn2 Tl2'
_space_group_name_H-M_alt 'C 1 m 1'
_space_group_IT_number 8
_cell_length_a 12.2655
_cell_length_b 3.7897
_cell_length_c 5.3174
_cell_angle_alpha 90.00
_cell_angle_beta 115.41
_cell_angle_gamma 90.00
loop_
_space_group_symop_operation_xyz
'x,y,z'
'x,-y,z'
'x+1/2,y+1/2,z'
'x+1/2,-y+1/2,z'
loop_
_atom_site_label
_atom_site_fract_x
_atom_site_fract_y
_atom_site_fract_z
_atom_site_occupancy
Ca1 0.0000 0.0000 0.0000 1
Ca2 0.2112 0.0000 0.7091 1
Mn1 0.4485 0.0000 0.4487 1
Tl1 0.2571 0.5000 0.2546 1
```

Summary:
* electronic total energy: -3.80 eV per atom
* calculated volume: 223.3 Å³/cell
* calculated formation energy: 82 meV per atom


[2]
Computed, not measured: crystalline CaMn2Tl at its relaxed geometry at the PBE-GGA level of DFT.

Structure (CIF):
```
data_CaMn2Tl
_chemical_formula_sum 'Ca2 Mn4 Tl2'
_space_group_name_H-M_alt 'C 1 2/m 1'
_space_group_IT_number 12
_cell_length_a 6.2054
_cell_length_b 10.0765
_cell_length_c 3.1280
_cell_angle_alpha 90.00
_cell_angle_beta 116.09
_cell_angle_gamma 90.00
loop_
_space_group_symop_operation_xyz
'x,y,z'
'-x,-y,-z'
'-x,y,-z'
'x,-y,z'
'x+1/2,y+1/2,z'
'-x+1/2,-y+1/2,-z'
'-x+1/2,y+1/2,-z'
'x+1/2,-y+1/2,z'
loop_
_atom_site_label
_atom_site_fract_x
_atom_site_fract_y
_atom_site_fract_z
_atom_site_occupancy
Ca1 0.0000 0.0000 0.0000 1
Mn1 0.2500 0.2500 0.5000 1
Tl1 0.0000 0.5000 0.0000 1
```

Summary:
* electronic total energy: -5.15 eV per atom
* calculated volume: 175.7 Å³/cell
* calculated formation energy: 531 meV per atom
* energy above the lowest structure with this stoichiometry: 317 meV per atom


[3]
Computed, not measured: crystalline Ca2MnTl at its relaxed geometry at the PBE-GGA level of DFT.

Structure (CIF):
```
data_Ca2MnTl
_chemical_formula_sum 'Ca4 Mn2 Tl2'
_space_group_name_H-M_alt 'A m m 2'
_space_group_IT_number 38
_cell_length_a 4.8199
_cell_length_b 3.8962
_cell_length_c 12.2670
_cell_angle_alpha 90.00
_cell_angle_beta 90.00
_cell_angle_gamma 90.00
loop_
_space_group_symop_operation_xyz
'x,y,z'
'-x,-y,z'
'-x,y,z'
'x,-y,z'
'x,y+1/2,z+1/2'
'-x,-y+1/2,z+1/2'
'-x,y+1/2,z+1/2'
'x,-y+1/2,z+1/2'
loop_
_atom_site_label
_atom_site_fract_x
_atom_site_fract_y
_atom_site_fract_z
_atom_site_occupancy
Ca1 0.0000 0.0000 0.0000 1
Ca2 0.5000 0.0000 0.3111 1
Mn1 0.5000 0.0000 0.5945 1
Tl1 0.0000 0.0000 0.7194 1
```

Summary:
* electronic total energy: -3.83 eV per atom
* calculated volume: 230.4 Å³/cell
* calculated formation energy: 60 meV per atom


[4]
Computed, not measured: crystalline CaMn2Tl at its relaxed geometry at the PBE-GGA level of DFT.

Structure (CIF):
```
data_CaMn2Tl
_chemical_formula_sum 'Ca4 Mn8 Tl4'
_space_group_name_H-M_alt 'F -4 3 m'
_space_group_IT_number 216
_space_group_name_Hall 'F -4 2 3'
_cell_length_a 7.0584
_cell_length_b 7.0584
_cell_length_c 7.0584
_cell_angle_alpha 90.00
_cell_angle_beta 90.00
_cell_angle_gamma 90.00
loop_
_atom_site_label
_atom_site_fract_x
_atom_site_fract_y
_atom_site_fract_z
_atom_site_occupancy
Ca1 0.0000 0.0000 0.0000 1
Mn1 0.0000 0.0000 0.5000 1
Mn2 0.2500 0.2500 0.7500 1
Tl1 0.2500 0.2500 0.2500 1
```

Summary:
* electronic total energy: -5.26 eV per atom
* calculated volume: 351.7 Å³/cell
* calculated formation energy: 414 meV per atom
* energy above the lowest structure with this stoichiometry: 199 meV per atom